#i
The following is a DFT calculation (PBE) of a geometry-optimized ZnAsPd3 structure.

Unit cell a=3.935 b=5.414 c=8.285 alpha=70.42 beta=90.00 gamma=90.00
Fractional positions:
Zn 0.126 0.681 0.883
Zn 0.126 0.322 0.579
As 0.626 0.737 0.389
As 0.626 0.266 0.074
Pd 0.626 0.738 0.087
Pd 0.126 0.856 0.527
Pd 0.626 0.265 0.375
Pd 0.626 0.502 0.731
Pd 0.126 0.147 0.936
Pd 0.626 0.001 0.731

Computed properties:
DOS at the Fermi energy   4.23 states/eV/cell
Magnetization   0.00 μB per cell

=====

#ii
The following is a DFT calculation (PBE) of a geometry-optimized ZnAsPd3 structure.

Unit cell a=4.832 b=8.435 c=8.430 alpha=110.34 beta=90.00 gamma=90.00
Fractional positions:
Zn 0.859 0.606 0.395
Zn 0.141 0.394 0.605
Zn 0.359 0.894 0.105
Zn 0.641 0.106 0.895
As 0.250 0.383 0.117
As 0.750 0.617 0.883
As 0.750 0.117 0.383
As 0.250 0.883 0.617
Pd 0.000 0.143 0.143
Pd 0.000 0.857 0.857
Pd 0.500 0.357 0.357
Pd 0.500 0.643 0.643
Pd 0.351 0.685 0.315
Pd 0.649 0.315 0.685
Pd 0.851 0.815 0.185
Pd 0.149 0.185 0.815
Pd 0.750 0.936 0.564
Pd 0.250 0.064 0.436
Pd 0.250 0.564 0.936
Pd 0.750 0.436 0.064

Computed properties:
DOS at the Fermi energy   3.99 states/eV/cell
Magnetization   0.00 μB per cell

=====

#iii
The following is a DFT calculation (PBE) of a geometry-optimized ZnAsPd3 structure.

Unit cell a=4.634 b=4.634 c=4.634 alpha=90.00 beta=90.00 gamma=90.00
Fractional positions:
As 0.000 0.000 0.000
Zn 0.500 0.500 0.500
Pd 0.000 0.500 0.000
Pd 0.000 0.000 0.500
Pd 0.500 0.000 0.000

Computed properties:
DOS at the Fermi energy   3.50 states/eV/cell
Magnetization   0.00 μB per cell

=====

Which structure loses on stability? #iii does.

=====

#i
The following is a DFT calculation (PBE) of a geometry-optimized ZnAsPd2 structure.

Unit cell a=6.968 b=6.968 c=5.654 alpha=51.96 beta=51.96 gamma=90.00
Fractional positions:
As 0.000 0.000 0.000
As 0.750 0.250 0.500
Zn 0.500 0.500 0.000
Zn 0.250 0.750 0.500
Pd 0.628 0.125 0.250
Pd 0.122 0.625 0.250
Pd 0.375 0.372 0.750
Pd 0.875 0.878 0.750

Computed properties:
DOS at the Fermi energy   5.10 states/eV/cell
Magnetization   0.00 μB per cell

=====

#ii
The following is a DFT calculation (PBE) of a geometry-optimized ZnAsPd2 structure.

Unit cell a=4.433 b=4.433 c=4.433 alpha=60.00 beta=60.00 gamma=60.00
Fractional positions:
As 0.500 0.500 0.500
Zn 0.000 0.000 0.000
Pd 0.250 0.250 0.250
Pd 0.750 0.750 0.750

Computed properties:
DOS at the Fermi energy   1.22 states/eV/cell
Magnetization   0.00 μB per cell

=====

Which structure loses on stability? #i does.

=====

#i
The following is a DFT calculation (PBE) of a geometry-optimized ZnAs2Pd2 structure.

Unit cell a=7.455 b=7.455 c=3.142 alpha=90.00 beta=90.00 gamma=90.00
Fractional positions:
As 0.336 0.836 0.000
As 0.836 0.664 0.000
As 0.664 0.164 0.000
As 0.164 0.336 0.000
Zn 0.000 0.000 0.000
Zn 0.500 0.500 0.000
Pd 0.134 0.634 0.500
Pd 0.634 0.866 0.500
Pd 0.866 0.366 0.500
Pd 0.366 0.134 0.500

Computed properties:
DOS at the Fermi energy   4.23 states/eV/cell
Magnetization   0.00 μB per cell

=====

#ii
The following is a DFT calculation (PBE) of a geometry-optimized ZnAs2Pd2 structure.

Unit cell a=6.863 b=6.863 c=3.683 alpha=90.00 beta=90.00 gamma=90.00
Fractional positions:
As 0.153 0.653 0.500
As 0.653 0.847 0.500
As 0.847 0.347 0.500
As 0.347 0.153 0.500
Zn 0.000 0.000 0.000
Zn 0.500 0.500 0.000
Pd 0.351 0.851 0.000
Pd 0.851 0.649 0.000
Pd 0.649 0.149 0.000
Pd 0.149 0.351 0.000

Computed properties:
DOS at the Fermi energy   5.01 states/eV/cell
Magnetization   0.00 μB per cell

=====

Which structure loses on stability? #i does.

=====

#i
The following is a DFT calculation (PBE) of a geometry-optimized Zn3AsPd structure.

Unit cell a=4.765 b=4.765 c=4.765 alpha=90.00 beta=90.00 gamma=90.00
Fractional positions:
As 0.000 0.000 0.000
Zn 0.000 0.500 0.000
Zn 0.000 0.000 0.500
Zn 0.500 0.000 0.000
Pd 0.500 0.500 0.500

Computed properties:
DOS at the Fermi energy   2.81 states/eV/cell
Magnetization   0.00 μB per cell

=====

#ii
The following is a DFT calculation (PBE) of a geometry-optimized Zn3AsPd structure.

Unit cell a=4.750 b=4.750 c=4.750 alpha=90.00 beta=90.00 gamma=90.00
Fractional positions:
As 0.500 0.500 0.500
Zn 0.000 0.500 0.000
Zn 0.000 0.000 0.500
Zn 0.500 0.000 0.000
Pd 0.000 0.000 0.000

Computed properties:
DOS at the Fermi energy   2.64 states/eV/cell
Magnetization   0.00 μB per cell

=====

Which structure loses on stability? #i does.

=====

#i
The following is a DFT calculation (PBE) of a geometry-optimized ZrAs3Pd structure.

Unit cell a=5.131 b=5.131 c=5.131 alpha=90.00 beta=90.00 gamma=90.00
Fractional positions:
As 0.000 0.500 0.000
As 0.000 0.000 0.500
As 0.500 0.000 0.000
Zr 0.000 0.000 0.000
Pd 0.500 0.500 0.500

Computed properties:
DOS at the Fermi energy   4.30 states/eV/cell
Magnetization   0.00 μB per cell

=====

#ii
The following is a DFT calculation (PBE) of a geometry-optimized ZrAs3Pd structure.

Unit cell a=4.820 b=4.820 c=4.820 alpha=90.00 beta=90.00 gamma=90.00
Fractional positions:
As 0.000 0.500 0.000
As 0.000 0.000 0.500
As 0.500 0.000 0.000
Zr 0.500 0.500 0.500
Pd 0.000 0.000 0.000

Computed properties:
DOS at the Fermi energy   4.19 states/eV/cell
Magnetization   0.00 μB per cell

=====

Which structure loses on stability? #i does.

=====

#i
The following is a DFT calculation (PBE) of a geometry-optimized ZrAsPd3 structure.

Unit cell a=4.896 b=4.896 c=4.896 alpha=90.00 beta=90.00 gamma=90.00
Fractional positions:
As 0.500 0.500 0.500
Zr 0.000 0.000 0.000
Pd 0.000 0.500 0.000
Pd 0.000 0.000 0.500
Pd 0.500 0.000 0.000

Computed properties:
DOS at the Fermi energy   2.49 states/eV/cell
Magnetization   0.00 μB per cell

=====

#ii
The following is a DFT calculation (PBE) of a geometry-optimized ZrAsPd3 structure.

Unit cell a=4.632 b=4.632 c=4.632 alpha=90.00 beta=90.00 gamma=90.00
Fractional positions:
As 0.000 0.000 0.000
Zr 0.500 0.500 0.500
Pd 0.000 0.500 0.000
Pd 0.000 0.000 0.500
Pd 0.500 0.000 0.000

Computed properties:
DOS at the Fermi energy   4.91 states/eV/cell
Magnetization   0.00 μB per cell

=====

Which structure loses on stability? #i does.

=====

#i
The following is a DFT calculation (PBE) of a geometry-optimized PmAsPt structure.

Unit cell a=4.018 b=4.325 c=4.325 alpha=120.00 beta=90.00 gamma=90.00
Fractional positions:
As 0.148 0.000 0.000
Pt 0.187 0.333 0.667
Pm 0.665 0.667 0.333

Computed properties:
DOS at the Fermi energy   1.60 states/eV/cell
Magnetization   0.00 μB per cell

=====

#ii
The following is a DFT calculation (PBE) of a geometry-optimized PmAsPt structure.

Unit cell a=4.627 b=4.627 c=4.627 alpha=60.00 beta=60.00 gamma=60.00
Fractional positions:
As 0.000 0.000 0.000
Pt 0.250 0.250 0.250
Pm 0.500 0.500 0.500

Computed properties:
DOS at the Fermi energy   0.04 states/eV/cell
Magnetization   0.00 μB per cell

=====

Which structure loses on stability? #ii does.

=====

#i
The following is a DFT calculation (PBE) of a geometry-optimized Pm2AsPt structure.

Unit cell a=3.641 b=3.641 c=7.144 alpha=90.00 beta=90.00 gamma=90.00
Fractional positions:
As 0.500 0.500 0.500
Pt 0.500 0.500 0.000
Pm 0.000 0.000 0.748
Pm 0.000 0.000 0.252

Computed properties:
DOS at the Fermi energy   2.25 states/eV/cell
Magnetization   0.00 μB per cell

=====

#ii
The following is a DFT calculation (PBE) of a geometry-optimized Pm2AsPt structure.

Unit cell a=5.128 b=5.128 c=5.128 alpha=60.00 beta=60.00 gamma=60.00
Fractional positions:
As 0.000 0.000 0.000
Pt 0.500 0.500 0.500
Pm 0.250 0.250 0.250
Pm 0.750 0.750 0.750

Computed properties:
DOS at the Fermi energy   4.62 states/eV/cell
Magnetization   0.00 μB per cell

=====

#iii
The following is a DFT calculation (PBE) of a geometry-optimized Pm2AsPt structure.

Unit cell a=4.292 b=4.088 c=11.879 alpha=99.91 beta=90.00 gamma=90.00
Fractional positions:
Pm 0.750 0.684 0.369
Pm 0.250 0.316 0.631
Pm 0.750 0.936 0.872
Pm 0.250 0.064 0.128
As 0.250 0.189 0.377
As 0.750 0.811 0.623
Pt 0.250 0.457 0.915
Pt 0.750 0.543 0.085

Computed properties:
DOS at the Fermi energy   5.81 states/eV/cell
Magnetization   0.00 μB per cell

=====

#iv
The following is a DFT calculation (PBE) of a geometry-optimized Pm2AsPt structure.

Unit cell a=4.183 b=4.183 c=7.412 alpha=73.61 beta=73.61 gamma=60.00
Fractional positions:
As 0.000 0.000 0.000
Pt 0.500 0.500 0.500
Pm 0.751 0.751 0.747
Pm 0.249 0.249 0.253

Computed properties:
DOS at the Fermi energy   2.86 states/eV/cell
Magnetization   0.00 μB per cell

=====

Which structure loses on stability? #ii does.

=====

#i
The following is a DFT calculation (PBE) of a geometry-optimized PmPu2As3 structure.

Unit cell a=4.172 b=5.893 c=7.214 alpha=114.11 beta=106.81 gamma=90.00
Fractional positions:
Pm 0.500 0.500 0.500
Pu 0.835 0.835 0.170
Pu 0.165 0.165 0.830
As 0.827 0.327 0.155
As 0.173 0.673 0.845
As 0.500 0.000 0.500

Computed properties:
DOS at the Fermi energy   20.11 states/eV/cell
Magnetization   9.94 μB per cell

=====

#ii
The following is a DFT calculation (PBE) of a geometry-optimized PmPu2As3 structure.

Unit cell a=7.219 b=7.219 c=13.178 alpha=100.54 beta=100.54 gamma=109.39
Fractional positions:
Pm 0.917 0.917 0.834
Pm 0.333 0.833 0.666
Pm 0.167 0.667 0.334
Pm 0.083 0.083 0.166
Pu 0.001 0.501 0.002
Pu 0.416 0.416 0.832
Pu 0.834 0.334 0.668
Pu 0.249 0.249 0.498
Pu 0.751 0.751 0.502
Pu 0.666 0.166 0.332
Pu 0.584 0.584 0.168
Pu 0.499 0.999 0.998
As 0.168 0.661 0.836
As 0.668 0.175 0.836
As 0.082 0.089 0.664
As 0.582 0.575 0.664
As 0.993 0.493 0.500
As 0.507 0.007 0.500
As 0.425 0.418 0.336
As 0.911 0.918 0.336
As 0.825 0.332 0.164
As 0.339 0.832 0.164
As 0.257 0.257 0.000
As 0.743 0.743 0.000

Computed properties:
DOS at the Fermi energy   95.54 states/eV/cell
Magnetization   0.15 μB per cell

=====

Which structure loses on stability? #ii does.

=====

#i
The following is a DFT calculation (PBE) of a geometry-optimized PmPuAsS structure.

Unit cell a=4.120 b=4.120 c=7.044 alpha=72.99 beta=72.99 gamma=60.00
Fractional positions:
Pm 0.192 0.192 0.423
Pu 0.697 0.697 0.910
As 0.946 0.946 0.161
S 0.441 0.441 0.676

Computed properties:
DOS at the Fermi energy   8.92 states/eV/cell
Magnetization   5.46 μB per cell

=====

#ii
The following is a DFT calculation (PBE) of a geometry-optimized PmPuAsS structure.

Unit cell a=5.027 b=5.027 c=5.027 alpha=60.00 beta=60.00 gamma=60.00
Fractional positions:
As 0.750 0.750 0.750
Pm 0.000 0.000 0.000
S 0.250 0.250 0.250
Pu 0.500 0.500 0.500

Computed properties:
DOS at the Fermi energy   5.71 states/eV/cell
Magnetization   5.91 μB per cell

=====

Which structure loses on stability? #ii does.

=====

#i
The following is a DFT calculation (PBE) of a geometry-optimized PmReAs2 structure.

Unit cell a=4.725 b=4.725 c=4.725 alpha=60.00 beta=60.00 gamma=60.00
Fractional positions:
Re 0.000 0.000 0.000
As 0.250 0.250 0.250
As 0.750 0.750 0.750
Pm 0.500 0.500 0.500

Computed properties:
DOS at the Fermi energy   0.82 states/eV/cell
Magnetization   0.00 μB per cell

=====

#ii
The following is a DFT calculation (PBE) of a geometry-optimized PmReAs2 structure.

Unit cell a=3.336 b=4.780 c=4.780 alpha=90.00 beta=90.00 gamma=90.00
Fractional positions:
Re 0.500 0.000 0.000
As 0.000 0.000 0.500
As 0.000 0.500 0.000
Pm 0.500 0.500 0.500

Computed properties:
DOS at the Fermi energy   3.49 states/eV/cell
Magnetization   0.48 μB per cell

=====

Which structure loses on stability? #ii does.